A plane-wave DFT calculation with meta-GGA SCAN was carried out for a PBEsol-optimized structure of Lu2HgAu.

space-group type: Fm-3m, No. 225
total magnetization: 0.00 μB/f.u.
theoretical density: 14.20 Mg/m³
energy of formation from the pure elements: -0.91 eV/atom

a = 4.981 Å, b = 4.981 Å, c = 4.981 Å
α = 60.00°, β = 60.00°, γ = 60.00°
Element x y z (fractional)
Lu (0.750, 0.750, 0.750)
Lu (0.250, 0.250, 0.250)
Au (0.500, 0.500, 0.500)
Hg (0.000, 0.000, 0.000)